Record 1
Density functional theory data (PBE-GGA) for an optimized crystal structure of Pm4CrGa12.

Cell and atoms, written as extended XYZ:
```
17
Lattice="-4.3859 4.3859 4.3859 4.3859 -4.3859 4.3859 4.3859 4.3859 -4.3859" Properties=species:S:1:pos:R:3 pbc="T T T"
Pm 2.1929 2.1929 -2.1929
Pm 2.1929 -2.1929 2.1929
Pm -2.1929 2.1929 2.1929
Pm 2.1929 2.1929 2.1929
Cr 0.0000 0.0000 0.0000
Ga 2.5807 0.0000 0.0000
Ga 6.1911 0.0000 0.0000
Ga 4.3859 2.1929 0.0000
Ga 4.3859 0.0000 2.1929
Ga 0.0000 2.5807 0.0000
Ga 0.0000 0.0000 2.5807
Ga 2.1929 4.3859 0.0000
Ga 2.1929 0.0000 4.3859
Ga 0.0000 6.1911 0.0000
Ga 0.0000 0.0000 6.1911
Ga 0.0000 4.3859 2.1929
Ga 0.0000 2.1929 4.3859
```

* calculated formation energy: -0.517 eV per atom
* electronic total energy: -73.74 eV for the cell shown
* Fermi-level density of states: 6.587 states/eV/f.u.
* space-group type: Im-3m



Record 2
Density functional theory data (PBE-GGA) for an optimized crystal structure of Pr2CrGa3Pt4.

Cell and atoms, written as extended XYZ:
```
10
Lattice="4.1748 0.0000 0.0000 0.0000 4.1748 0.0000 0.0000 0.0000 11.1399" Properties=species:S:1:pos:R:3 pbc="T T T"
Pr 0.0000 2.0874 2.7686
Pr 2.0874 0.0000 8.3713
Cr 0.0000 0.0000 5.5699
Ga 0.0000 2.0874 9.6695
Ga 2.0874 0.0000 1.4704
Ga 2.0874 2.0874 5.5699
Pt 0.0000 0.0000 0.0000
Pt 0.0000 2.0874 7.1523
Pt 2.0874 0.0000 3.9875
Pt 2.0874 2.0874 0.0000
```

* calculated formation energy: -0.815 eV per atom
* electronic total energy: -60.58 eV for the cell shown
* Fermi-level density of states: 6.333 states/eV/f.u.
* space-group type: P-4m2



Record 3
Density functional theory data (PBE-GGA) for an optimized crystal structure of CrGaPt.

Cell and atoms, written as extended XYZ:
```
12
Lattice="8.9442 0.0000 0.0000 0.0000 3.5706 0.0000 -1.8196 0.0000 5.3356" Properties=species:S:1:pos:R:3 pbc="T T T"
Cr 1.0393 0.0000 1.9899
Cr 1.6132 1.7853 3.3456
Cr 5.5114 1.7853 1.9899
Cr 6.0853 0.0000 3.3456
Ga 0.0000 1.7853 0.0000
Ga -0.9098 1.7853 2.6678
Ga 4.4721 0.0000 0.0000
Ga 3.5623 0.0000 2.6678
Pt -0.2189 0.0000 4.4510
Pt 2.8714 1.7853 0.8846
Pt 4.2532 1.7853 4.4510
Pt 7.3435 0.0000 0.8846
```

* calculated formation energy: -0.214 eV per atom
* electronic total energy: -77.33 eV for the cell shown
* Fermi-level density of states: 2.253 states/eV/f.u.
* space-group type: C2/m



Record 4
Density functional theory data (PBE-GGA) for an optimized crystal structure of CrGaPt.

Cell and atoms, written as extended XYZ:
```
6
Lattice="2.7698 0.0000 0.0000 0.0000 2.7698 0.0000 0.0000 0.0000 11.0512" Properties=species:S:1:pos:R:3 pbc="T T T"
Cr 0.0000 0.0000 0.0000
Cr 1.3849 1.3849 5.5256
Ga 0.0000 0.0000 3.7602
Ga 1.3849 1.3849 9.2858
Pt 0.0000 0.0000 7.3173
Pt 1.3849 1.3849 1.7917
```

* calculated formation energy: -0.212 eV per atom
* electronic total energy: -38.65 eV for the cell shown
* Fermi-level density of states: 1.732 states/eV/f.u.
* space-group type: I4mm



Question: Among the records above, which one has the lowest calculated formation energy?
Answer: Pr2CrGa3Pt4